[1]
Below is an optimized crystal structure of CuTcBr4, with properties calculated at the PBE level.

Properties
- DOS at the Fermi energy (states/eV per cell) = 8.3
- uncorrected energy (eV per atom) = -2.190
- total magnetic moment (Bohr magnetons per cell) = 3.35

Cell: 6.176 6.176 6.176 Å, 60.00 60.00 60.00°
Atoms (fractional coordinates):
Cu: 0.000 0.000 0.000
Tc: 0.750 0.750 0.750
Br: 0.375 0.375 0.375
Br: 0.375 0.375 0.875
Br: 0.375 0.875 0.375
Br: 0.875 0.375 0.375


[2]
Below is an optimized crystal structure of LaTaSb, with properties calculated at the PBE level.

Properties
- offset from the most stable computed form (meV per atom) = 432
- DOS at the Fermi energy (states/eV per cell) = 3.5
- uncorrected energy (eV per atom) = -6.651
- total magnetic moment (Bohr magnetons per cell) = 0.65

Cell: 4.954 4.954 4.954 Å, 60.00 60.00 60.00°
Atoms (fractional coordinates):
La: 0.000 0.000 0.000
Ta: 0.500 0.500 0.500
Sb: 0.750 0.750 0.750


[3]
Below is an optimized crystal structure of RbAs3Os, with properties calculated at the PBE level.

Properties
- offset from the most stable computed form (meV per atom) = 0
- DFT formation energy (meV per atom) = 418
- DOS at the Fermi energy (states/eV per cell) = 6.9
- uncorrected energy (eV per atom) = -4.811
- total magnetic moment (Bohr magnetons per cell) = 0.00

Cell: 4.980 4.980 4.980 Å, 90.00 90.00 90.00°
Atoms (fractional coordinates):
Rb: 0.000 0.000 0.000
As: 0.000 0.500 0.500
As: 0.500 0.000 0.500
As: 0.500 0.500 0.000
Os: 0.500 0.500 0.500


[4]
Below is an optimized crystal structure of SrRhBr2, with properties calculated at the PBE level.

Properties
- offset from the most stable computed form (meV per atom) = 153
- DOS at the Fermi energy (states/eV per cell) = 0.1
- uncorrected energy (eV per atom) = -3.811
- total magnetic moment (Bohr magnetons per cell) = 1.00

Cell: 5.120 5.120 4.224 Å, 90.00 90.00 96.58°
Atoms (fractional coordinates):
Sr: 0.000 0.000 0.000
Rh: 0.500 0.500 0.000
Br: 0.288 0.712 0.500
Br: 0.712 0.288 0.500